(1)
The following is a DFT calculation (GGA-PBE) of an optimized crystal structure of CaY2Cd2.

Unit cell a=4.6688 b=4.6688 c=14.2181 alpha=90.00 beta=90.00 gamma=90.00
With the nearest neighbours (Å) after each atom.
Space group I4/mmm (No. 139)
Inequivalent atoms, fractional coordinates:
Ca 0.0000 0.0000 0.0000 x2  8 Cd 3.58
Y 0.0000 0.5000 0.2500 x4  4 Cd 3.18, 4 Y 3.30
Cd 0.0000 0.0000 0.4022 x4  1 Cd 2.78

## Properties
DOS at the Fermi energy (states/eV per cell): 13.45
Polymorph energy (0 for the lowest one) (eV/atom): 0.183
Energy of formation (kJ/mol of atoms): -8.4

(2)
The following is a DFT calculation (GGA-PBE) of an optimized crystal structure of Ho2MnTl3Se6.

Unit cell a=7.0877 b=12.1380 c=8.0327 alpha=90.00 beta=107.41 gamma=90.00
With the nearest neighbours (Å) after each atom.
Space group C2/m (No. 12)
Inequivalent atoms, fractional coordinates:
Ho 0.0000 0.1649 0.0000 x4  6 Se 2.86-2.87
Mn 0.0000 0.5000 0.0000 x2  6 Se 2.63-2.80
Tl 0.0000 0.0000 0.5000 x2  6 Se 3.26-3.31
Tl 0.0000 0.3247 0.5000 x4  6 Se 3.26-3.37
Se 0.2188 0.3450 0.1935 x8  1 Mn 2.63, 2 Ho 2.86-2.87
Se 0.2499 0.0000 0.2110 x4  1 Mn 2.80, 2 Ho 2.87

## Properties
DOS at the Fermi energy (states/eV per cell): 8.27
Formation energy from raw total energies (eV per atom): -1.023

(3)
The following is a DFT calculation (GGA-PBE) of an optimized crystal structure of LiCrOs2.

Unit cell a=2.9329 b=4.1250 c=8.4354 alpha=90.00 beta=90.00 gamma=90.00
With the nearest neighbours (Å) after each atom.
Space group Imm2 (No. 44)
Inequivalent atoms, fractional coordinates:
Li 0.0000 0.0000 0.0000 x2  6 Os 2.53-2.60, 2 Cr 2.55
Cr 0.0000 0.5000 0.2521 x2  6 Os 2.51-2.53, 2 Li 2.55
Os 0.0000 0.0000 0.5112 x2  2 Cr 2.51, 4 Li 2.53, 2 Os 2.61
Os 0.0000 0.5000 0.7552 x2  4 Cr 2.53, 2 Li 2.60, 2 Os 2.61

## Properties
DOS at the Fermi energy (states/eV per cell): 6.78
Polymorph energy (0 for the lowest one) (eV/atom): 0.119
Energy of formation (kJ/mol of atoms): 21.9

> DOS at the Fermi energy of number 3 (LiCrOs2)?

6.78 states/eV per cell

> What is the DOS at the Fermi energy in the second record?

8.27 states/eV per cell

> What is the DOS at the Fermi energy in the third record?

6.78 states/eV per cell